Record 1
# Rb2NbPdSe4 | Alexandria | PBE-GGA | optimized geometry
data_Rb2NbPdSe4
_cell_length_a 5.963
_cell_length_b 7.833
_cell_length_c 12.226
_cell_angle_alpha 84.67
_cell_angle_beta 75.89
_cell_angle_gamma 67.63
_space_group_name_H-M_alt 'P 1'
_space_group_IT_number 1
loop_
_space_group_symop_operation_xyz
'x,y,z'
loop_
_atom_site_label
_atom_site_type_symbol
_atom_site_fract_x
_atom_site_fract_y
_atom_site_fract_z
Pd1 Pd 0.750 0.500 0.500
Pd2 Pd 0.000 0.000 0.000
Se1 Se 0.897 0.796 0.886
Se2 Se 0.171 0.296 0.386
Se3 Se 0.579 0.204 0.114
Se4 Se 0.442 0.704 0.386
Se5 Se 0.308 0.796 0.114
Se6 Se 0.533 0.296 0.614
Se7 Se 0.853 0.704 0.614
Se8 Se 0.217 0.204 0.886
Rb1 Rb 0.822 0.000 0.357
Rb2 Rb 0.178 0.000 0.643
Rb3 Rb 0.572 0.500 0.857
Rb4 Rb 0.928 0.500 0.143
Nb1 Nb 0.500 0.000 0.000
Nb2 Nb 0.250 0.500 0.500
# SG	Fddd, No. 70
# formation energy without anion corrections	-915.0	meV/atom

***

Record 2
# Rb2TiSnH | Alexandria | PBE-GGA | optimized geometry
data_Rb2TiSnH
_cell_length_a 5.087
_cell_length_b 5.483
_cell_length_c 5.087
_cell_angle_alpha 90.00
_cell_angle_beta 90.00
_cell_angle_gamma 90.00
_space_group_name_H-M_alt 'P 1'
_space_group_IT_number 1
loop_
_space_group_symop_operation_xyz
'x,y,z'
loop_
_atom_site_label
_atom_site_type_symbol
_atom_site_fract_x
_atom_site_fract_y
_atom_site_fract_z
Rb1 Rb 0.500 0.000 0.000
Rb2 Rb 0.000 0.000 0.500
H1 H 0.000 0.000 0.000
Ti1 Ti 0.500 0.500 0.500
Sn1 Sn 0.000 0.500 0.000
# electronic total energy	-2.793	eV/atom
# SG	P4/mmm, No. 123

***

Record 3
# TlInHg2Bi | Alexandria | PBE-GGA | optimized geometry
data_TlInHg2Bi
_cell_length_a 3.531
_cell_length_b 8.870
_cell_length_c 10.487
_cell_angle_alpha 90.00
_cell_angle_beta 90.00
_cell_angle_gamma 101.48
_space_group_name_H-M_alt 'P 1'
_space_group_IT_number 1
loop_
_space_group_symop_operation_xyz
'x,y,z'
loop_
_atom_site_label
_atom_site_type_symbol
_atom_site_fract_x
_atom_site_fract_y
_atom_site_fract_z
Tl1 Tl 0.802 0.604 0.750
Tl2 Tl 0.198 0.396 0.250
Bi1 Bi 0.533 0.066 0.250
Bi2 Bi 0.467 0.934 0.750
In1 In 0.000 0.000 0.500
In2 In 0.000 0.000 0.000
Hg1 Hg 0.831 0.662 0.073
Hg2 Hg 0.831 0.662 0.427
Hg3 Hg 0.169 0.338 0.927
Hg4 Hg 0.169 0.338 0.573
# SG	Cmcm, No. 63
# formation energy	0.19	eV/f.u.

***

Record 4
# SrGaSn | Alexandria | PBE-GGA | optimized geometry
data_SrGaSn
_cell_length_a 4.630
_cell_length_b 4.630
_cell_length_c 18.742
_cell_angle_alpha 90.00
_cell_angle_beta 90.00
_cell_angle_gamma 120.00
_space_group_name_H-M_alt 'P 1'
_space_group_IT_number 1
loop_
_space_group_symop_operation_xyz
'x,y,z'
loop_
_atom_site_label
_atom_site_type_symbol
_atom_site_fract_x
_atom_site_fract_y
_atom_site_fract_z
Sr1 Sr 0.000 0.000 0.500
Sr2 Sr 0.000 0.000 0.750
Sr3 Sr 0.000 0.000 0.250
Sr4 Sr 0.000 0.000 0.000
Ga1 Ga 0.667 0.333 0.661
Ga2 Ga 0.667 0.333 0.839
Ga3 Ga 0.333 0.667 0.161
Ga4 Ga 0.333 0.667 0.339
Sn1 Sn 0.333 0.667 0.884
Sn2 Sn 0.667 0.333 0.116
Sn3 Sn 0.667 0.333 0.384
Sn4 Sn 0.333 0.667 0.616
# SG	P6_3/mmc, No. 194
# formation energy	-1.64	eV/f.u.

***

Record 5
# ThBiAu2 | Alexandria | PBE-GGA | optimized geometry
data_ThBiAu2
_cell_length_a 4.740
_cell_length_b 6.705
_cell_length_c 7.013
_cell_angle_alpha 90.00
_cell_angle_beta 90.00
_cell_angle_gamma 110.70
_space_group_name_H-M_alt 'P 1'
_space_group_IT_number 1
loop_
_space_group_symop_operation_xyz
'x,y,z'
loop_
_atom_site_label
_atom_site_type_symbol
_atom_site_fract_x
_atom_site_fract_y
_atom_site_fract_z
Au1 Au 0.387 0.775 0.536
Au2 Au 0.613 0.225 0.464
Au3 Au 0.613 0.225 0.036
Au4 Au 0.387 0.775 0.964
Th1 Th 0.208 0.416 0.250
Th2 Th 0.792 0.584 0.750
Bi1 Bi 0.074 0.148 0.750
Bi2 Bi 0.926 0.852 0.250
# SG	Cmcm, No. 63
# formation energy	-2.16	eV/f.u.

***

Record 6
# ErHfFe4 | Alexandria | PBE-GGA | optimized geometry
data_ErHfFe4
_cell_length_a 5.019
_cell_length_b 5.019
_cell_length_c 5.019
_cell_angle_alpha 60.00
_cell_angle_beta 60.00
_cell_angle_gamma 60.00
_space_group_name_H-M_alt 'P 1'
_space_group_IT_number 1
loop_
_space_group_symop_operation_xyz
'x,y,z'
loop_
_atom_site_label
_atom_site_type_symbol
_atom_site_fract_x
_atom_site_fract_y
_atom_site_fract_z
Hf1 Hf 0.000 0.000 0.000
Fe1 Fe 0.625 0.625 0.124
Fe2 Fe 0.124 0.625 0.625
Fe3 Fe 0.625 0.625 0.625
Fe4 Fe 0.625 0.124 0.625
Er1 Er 0.250 0.250 0.250
# SG	F-43m, No. 216
# formation energy	-1.33	eV/f.u.

***

Record 7
# La5Cr3 | Alexandria | PBE-GGA | optimized geometry
data_La5Cr3
_cell_length_a 6.745
_cell_length_b 6.745
_cell_length_c 5.233
_cell_angle_alpha 90.00
_cell_angle_beta 90.00
_cell_angle_gamma 104.80
_space_group_name_H-M_alt 'P 1'
_space_group_IT_number 1
loop_
_space_group_symop_operation_xyz
'x,y,z'
loop_
_atom_site_label
_atom_site_type_symbol
_atom_site_fract_x
_atom_site_fract_y
_atom_site_fract_z
La1 La 0.000 0.000 0.000
La2 La 0.000 0.500 0.000
La3 La 0.500 0.000 0.000
La4 La 0.719 0.719 0.500
La5 La 0.281 0.281 0.500
Cr1 Cr 0.236 0.764 0.500
Cr2 Cr 0.500 0.500 0.000
Cr3 Cr 0.764 0.236 0.500
# SG	Cmmm, No. 65
# formation energy	3.37	eV/f.u.

***

Record 8
# TbPm6Te8 | Alexandria | PBE-GGA | optimized geometry
data_TbPm6Te8
_cell_length_a 8.891
_cell_length_b 8.891
_cell_length_c 8.891
_cell_angle_alpha 60.00
_cell_angle_beta 60.00
_cell_angle_gamma 60.00
_space_group_name_H-M_alt 'P 1'
_space_group_IT_number 1
loop_
_space_group_symop_operation_xyz
'x,y,z'
loop_
_atom_site_label
_atom_site_type_symbol
_atom_site_fract_x
_atom_site_fract_y
_atom_site_fract_z
Te1 Te 0.252 0.748 0.252
Te2 Te 0.748 0.748 0.252
Te3 Te 0.250 0.250 0.250
Te4 Te 0.252 0.252 0.748
Te5 Te 0.750 0.750 0.750
Te6 Te 0.748 0.252 0.252
Te7 Te 0.252 0.748 0.748
Te8 Te 0.748 0.252 0.748
Pm1 Pm 0.000 0.500 0.500
Pm2 Pm 0.500 0.000 0.500
Pm3 Pm 0.500 0.500 0.000
Pm4 Pm 0.000 0.000 0.500
Pm5 Pm 0.500 0.000 0.000
Pm6 Pm 0.000 0.500 0.000
Tb1 Tb 0.000 0.000 0.000
# SG	Fm-3m, No. 225
# formation energy without anion corrections	-1443.7	meV/atom

***

no.,calculated density (Mg/m³)
1,4.45
2,3.96
3,9.59
4,5.27
5,13.30
6,10.57
7,6.14
8,6.85